(1)
VASP calculation (PBE) on crystalline EuTmPb at its relaxed geometry.

Summary:
Calculated density, g/cm³: 9.14
E_form, meV per atom: -259

Cell and atoms, written as CIF:
```
data_EuTmPb
_cell_length_a 5.3962
_cell_length_b 5.3962
_cell_length_c 3.8046
_cell_angle_alpha 90.00
_cell_angle_beta 90.00
_cell_angle_gamma 120.00
_space_group_name_H-M_alt 'P 3 m 1'
_space_group_IT_number 156
loop_
_space_group_symop_operation_xyz
'x,y,z'
'-y,x-y,z'
'-x+y,-x,z'
'-y,-x,z'
'-x+y,y,z'
'x,x-y,z'
loop_
_atom_site_label
_atom_site_type_symbol
_atom_site_fract_x
_atom_site_fract_y
_atom_site_fract_z
Eu1 Eu 0.0000 0.0000 0.0000
Tm1 Tm 0.3333 0.6667 0.5023
Pb1 Pb 0.6667 0.3333 0.4934
```


(2)
VASP calculation (PBE) on crystalline EuTm2Pb at its relaxed geometry.

Summary:
Polymorph energy (0 for the lowest one), kcal/mol of atoms: 0.000
Calculated density, g/cm³: 9.88
E_form, meV per atom: -226

Cell and atoms, written as CIF:
```
data_EuTm2Pb
_cell_length_a 4.9333
_cell_length_b 4.9333
_cell_length_c 4.8129
_cell_angle_alpha 90.00
_cell_angle_beta 90.00
_cell_angle_gamma 90.00
_space_group_name_H-M_alt 'P 4/m m m'
_space_group_IT_number 123
_space_group_name_Hall '-P 4 2'
loop_
_atom_site_label
_atom_site_type_symbol
_atom_site_fract_x
_atom_site_fract_y
_atom_site_fract_z
Eu1 Eu 0.0000 0.0000 0.0000
Tm1 Tm 0.0000 0.5000 0.5000
Pb1 Pb 0.5000 0.5000 0.0000
```